{
  "formula": "Tm2CdAg3",
  "functional": "GGA-PBE",
  "state": "relaxed",
  "cell": [[0.000, 4.820, 8.346], [3.278, 0.000, 8.346], [3.278, 4.820, 0.000]],
  "species": ["Tm", "Tm", "Tm", "Tm", "Cd", "Cd", "Ag", "Ag", "Ag", "Ag", "Ag", "Ag"],
  "frac_coords": [[0.247, 0.753, 0.753], [0.250, 0.250, 0.250], [0.750, 0.750, 0.750], [0.753, 0.247, 0.247], [0.333, 0.333, 0.667], [0.667, 0.667, 0.333], [0.166, 0.166, 0.834], [0.167, 0.667, 0.333], [0.333, 0.833, 0.167], [0.667, 0.167, 0.833], [0.833, 0.333, 0.667], [0.834, 0.834, 0.166]],
  "formation_enthalpy_0k_ev_per_atom": -0.2553,
  "dos_at_fermi_per_ev_fu": 3.31,
  "final_energy_ev_per_cell": -39.9,
  "relative_energy_mev_per_atom": 25
}

---

{
  "formula": "ScCo2Pt",
  "functional": "GGA-PBE",
  "state": "relaxed",
  "cell": [[1.401, 0.809, 8.510], [-1.401, 0.809, 8.510], [0.000, -1.618, 8.510]],
  "species": ["Sc", "Co", "Co", "Pt"],
  "frac_coords": [[0.000, 0.000, 0.000], [0.250, 0.250, 0.250], [0.750, 0.750, 0.750], [0.500, 0.500, 0.500]],
  "formation_enthalpy_0k_ev_per_atom": 0.1420,
  "dos_at_fermi_per_ev_fu": 6.42,
  "final_energy_ev_per_cell": -26.0
}

---

{
  "formula": "Li3Ag6Au",
  "functional": "GGA-PBE",
  "state": "relaxed",
  "cell": [[4.947, -6.803, 0.000], [4.947, 6.803, 0.000], [0.000, 0.000, 5.259]],
  "species": ["Li", "Li", "Li", "Li", "Li", "Li", "Ag", "Ag", "Ag", "Ag", "Ag", "Ag", "Ag", "Ag", "Ag", "Ag", "Ag", "Ag", "Au", "Au"],
  "frac_coords": [[0.130, 0.870, 0.500], [0.213, 0.417, 0.814], [0.417, 0.213, 0.314], [0.583, 0.787, 0.814], [0.787, 0.583, 0.314], [0.870, 0.130, 0.000], [0.046, 0.459, 0.247], [0.101, 0.182, 0.465], [0.182, 0.101, 0.965], [0.234, 0.766, 0.018], [0.459, 0.046, 0.747], [0.462, 0.538, 0.159], [0.538, 0.462, 0.659], [0.541, 0.954, 0.247], [0.766, 0.234, 0.518], [0.818, 0.899, 0.465], [0.899, 0.818, 0.965], [0.954, 0.541, 0.747], [0.319, 0.681, 0.529], [0.681, 0.319, 0.029]],
  "formation_enthalpy_0k_ev_per_atom": -0.0999,
  "dos_at_fermi_per_ev_fu": 2.18,
  "final_energy_ev_per_cell": -54.2
}

---

{
  "formula": "ZrTlCr2Hg",
  "functional": "GGA-PBE",
  "state": "relaxed",
  "cell": [[5.095, 0.000, 0.000], [0.000, 5.095, 0.000], [0.000, 0.000, 5.312]],
  "species": ["Zr", "Tl", "Cr", "Cr", "Hg"],
  "frac_coords": [[0.000, 0.000, 0.000], [0.500, 0.500, 0.500], [0.000, 0.500, 0.500], [0.500, 0.000, 0.500], [0.500, 0.500, 0.000]],
  "formation_enthalpy_0k_ev_per_atom": 1.4693,
  "dos_at_fermi_per_ev_fu": 3.53,
  "final_energy_ev_per_cell": -23.1
}

---

{
  "formula": "Sr2Tl3SbSe6",
  "functional": "GGA-PBE",
  "state": "relaxed",
  "cell": [[3.827, -6.592, 0.000], [3.827, 6.592, 0.000], [-2.595, 0.000, 7.289]],
  "species": ["Sr", "Sr", "Tl", "Tl", "Tl", "Sb", "Se", "Se", "Se", "Se", "Se", "Se"],
  "frac_coords": [[0.164, 0.836, 0.000], [0.836, 0.164, 0.000], [0.000, 0.000, 0.500], [0.323, 0.677, 0.500], [0.677, 0.323, 0.500], [0.500, 0.500, 0.000], [0.126, 0.427, 0.784], [0.278, 0.278, 0.231], [0.427, 0.126, 0.784], [0.573, 0.874, 0.216], [0.722, 0.722, 0.769], [0.874, 0.573, 0.216]],
  "dos_at_fermi_per_ev_fu": 4.66,
  "raw_formation_energy_ev_per_atom": -0.843,
  "final_energy_ev_per_cell": -45.6
}

---

{
  "formula": "Th8GeSb4Te3",
  "functional": "GGA-PBE",
  "state": "relaxed",
  "cell": [[4.482, 2.587, 7.266], [-4.482, 2.587, 7.266], [0.000, -5.175, 7.266]],
  "species": ["Th", "Th", "Th", "Th", "Th", "Th", "Th", "Th", "Ge", "Sb", "Sb", "Sb", "Sb", "Te", "Te", "Te"],
  "frac_coords": [[0.237, 0.760, 0.760], [0.240, 0.240, 0.763], [0.240, 0.763, 0.240], [0.249, 0.249, 0.249], [0.751, 0.751, 0.751], [0.760, 0.237, 0.760], [0.760, 0.760, 0.237], [0.763, 0.240, 0.240], [0.000, 0.000, 0.000], [0.000, 0.000, 0.500], [0.000, 0.500, 0.000], [0.500, 0.000, 0.000], [0.500, 0.500, 0.500], [0.000, 0.500, 0.500], [0.500, 0.000, 0.500], [0.500, 0.500, 0.000]],
  "dos_at_fermi_per_ev_fu": 12.46,
  "raw_formation_energy_ev_per_atom": -0.955,
  "final_energy_ev_per_cell": -105.2
}